[1]
First-principles (meta-GGA SCAN) data for a PBEsol-optimized structure of MnCu6O8, as listed in Alexandria via LeMat-Bulk.

Cell lengths 6.3537, 6.3537, 6.3537 Å; angles 60.00, 60.00, 60.00 degrees
Closest atoms and distances in Å follow each position.
Element x y z (fractional)
Mn 0.0000 0.0000 0.0000  8 O 2.14
Cu 0.0000 0.0000 0.5000  4 O 1.89
Cu 0.0000 0.5000 0.0000  4 O 1.89
Cu 0.0000 0.5000 0.5000  4 O 1.89
Cu 0.5000 0.0000 0.0000  4 O 1.89
Cu 0.5000 0.0000 0.5000  4 O 1.89
Cu 0.5000 0.5000 0.0000  4 O 1.89
O 0.1376 0.1376 0.1376  3 Cu 1.89
O 0.1376 0.1376 0.5871  3 Cu 1.89
O 0.1376 0.5871 0.1376  3 Cu 1.89
O 0.4129 0.8624 0.8624  3 Cu 1.89
O 0.5871 0.1376 0.1376  3 Cu 1.89
O 0.8624 0.4129 0.8624  3 Cu 1.89
O 0.8624 0.8624 0.4129  3 Cu 1.89
O 0.8624 0.8624 0.8624  3 Cu 1.89

* raw formation energy: -935 meV per atom
* uncorrected energy: -173.323 eV per cell


[2]
First-principles (meta-GGA SCAN) data for a PBEsol-optimized structure of CrGeBi3, as listed in Alexandria via LeMat-Bulk.

Cell lengths 5.1450, 5.1450, 5.1450 Å; angles 90.00, 90.00, 90.00 degrees
Closest atoms and distances in Å follow each position.
Element x y z (fractional)
Cr 0.0000 0.0000 0.0000  6 Bi 2.57
Ge 0.5000 0.5000 0.5000  12 Bi 3.64
Bi 0.0000 0.0000 0.5000  2 Cr 2.57
Bi 0.0000 0.5000 0.0000  2 Cr 2.57
Bi 0.5000 0.0000 0.0000  2 Cr 2.57

* uncorrected energy: -269.806 eV per cell
* E_form: 3.4 eV/f.u.


[3]
First-principles (meta-GGA SCAN) data for a PBEsol-optimized structure of Cd5Cu, as listed in Alexandria via LeMat-Bulk.

Cell lengths 6.6835, 6.6835, 4.2912 Å; angles 90.00, 90.00, 143.62 degrees
Closest atoms and distances in Å follow each position.
Element x y z (fractional)
Cd 0.0000 0.0000 0.0000  8 Cd 2.92-2.95, 4 Cu 2.99
Cd 0.1591 0.8409 0.5000  2 Cu 2.90, 10 Cd 2.95-3.14
Cd 0.3393 0.6607 0.0000  10 Cd 2.92-3.14, 2 Cu 2.96
Cd 0.6607 0.3393 0.0000  10 Cd 2.92-3.14, 2 Cu 2.96
Cd 0.8409 0.1591 0.5000  2 Cu 2.90, 10 Cd 2.95-3.14
Cu 0.5000 0.5000 0.5000  12 Cd 2.90-2.99

* uncorrected energy: -166.744 eV per cell
* E_form: 0.5 eV/f.u.


[4]
First-principles (meta-GGA SCAN) data for a PBEsol-optimized structure of Sc3Pb, as listed in Alexandria via LeMat-Bulk.

Cell lengths 5.7567, 5.7567, 5.7567 Å; angles 136.03, 136.03, 63.93 degrees
Closest atoms and distances in Å follow each position.
Element x y z (fractional)
Sc 0.0000 0.0000 0.0000  4 Pb 3.05, 8 Sc 3.26
Sc 0.2500 0.7500 0.5000  8 Sc 3.05-3.26, 4 Pb 3.26
Sc 0.7500 0.2500 0.5000  8 Sc 3.05-3.26, 4 Pb 3.26
Pb 0.5000 0.5000 0.0000  12 Sc 3.05-3.26

* uncorrected energy: -120.183 eV per cell
* E_form: -1.7 eV/f.u.


[5]
First-principles (meta-GGA SCAN) data for a PBEsol-optimized structure of CuHgO2, as listed in Alexandria via LeMat-Bulk.

Cell lengths 3.6878, 3.6878, 6.3033 Å; angles 117.73, 117.73, 47.07 degrees
Closest atoms and distances in Å follow each position.
Element x y z (fractional)
Cu 0.0000 0.0000 0.0000  4 O 1.91
Hg 0.5000 0.5000 0.5000  2 O 2.07
O 0.4210 0.4210 0.7775  2 Cu 1.91, 1 Hg 2.07
O 0.5790 0.5790 0.2225  2 Cu 1.91, 1 Hg 2.07

* raw formation energy: -524 meV per atom
* uncorrected energy: -97.924 eV per cell


[6]
First-principles (meta-GGA SCAN) data for a PBEsol-optimized structure of VAgO3, as listed in Alexandria via LeMat-Bulk.

Cell lengths 7.3175, 7.3175, 5.7747 Å; angles 106.73, 106.73, 84.97 degrees
Closest atoms and distances in Å follow each position.
Element x y z (fractional)
V 0.0954 0.2637 0.2339  4 O 1.67-1.79
V 0.2637 0.0954 0.7339  4 O 1.67-1.79
V 0.7363 0.9046 0.2661  4 O 1.67-1.79
V 0.9046 0.7363 0.7661  4 O 1.67-1.79
Ag 0.2716 0.7284 0.2500  2 O 2.14
Ag 0.4175 0.5825 0.7500  4 O 2.23-2.45
Ag 0.5825 0.4175 0.2500  4 O 2.23-2.45
Ag 0.7284 0.2716 0.7500  2 O 2.14
O 0.0940 0.1621 0.4789  2 V 1.78-1.79
O 0.1151 0.6325 0.8620  1 V 1.67
O 0.1621 0.0940 0.9789  2 V 1.78-1.79
O 0.2666 0.4296 0.3559  1 V 1.67
O 0.3675 0.8849 0.6380  1 V 1.67
O 0.4296 0.2666 0.8559  1 V 1.67
O 0.5704 0.7334 0.1441  1 V 1.67
O 0.6325 0.1151 0.3620  1 V 1.67
O 0.7334 0.5704 0.6441  1 V 1.67
O 0.8379 0.9060 0.0211  2 V 1.78-1.79
O 0.8849 0.3675 0.1380  1 V 1.67
O 0.9060 0.8379 0.5211  2 V 1.78-1.79

* raw formation energy: -1845 meV per atom
* uncorrected energy: -307.104 eV per cell


[7]
First-principles (meta-GGA SCAN) data for a PBEsol-optimized structure of Li2ReTe, as listed in Alexandria via LeMat-Bulk.

Cell lengths 9.4000, 9.4000, 9.4000 Å; angles 17.92, 17.92, 17.92 degrees
Closest atoms and distances in Å follow each position.
Element x y z (fractional)
Li 0.2454 0.2454 0.2454  3 Re 2.76, 6 Li 2.93, 3 Te 2.97
Li 0.7546 0.7546 0.7546  3 Re 2.76, 6 Li 2.93, 3 Te 2.97
Re 0.5000 0.5000 0.5000  6 Li 2.76, 6 Re 2.93
Te 0.0000 0.0000 0.0000  6 Te 2.93, 6 Li 2.97

* raw formation energy: 283 meV per atom
* uncorrected energy: -111.998 eV per cell


[8]
First-principles (meta-GGA SCAN) data for a PBEsol-optimized structure of CaCr2Se, as listed in Alexandria via LeMat-Bulk.

Cell lengths 5.9972, 5.9972, 5.9972 Å; angles 39.36, 39.36, 39.36 degrees
Closest atoms and distances in Å follow each position.
Element x y z (fractional)
Ca 0.0000 0.0000 0.0000  4 Se 3.12-3.45, 7 Cr 3.19-3.36
Cr 0.2025 0.2025 0.2025  3 Cr 2.33
Cr 0.5311 0.5311 0.5311  3 Cr 2.33
Se 0.7920 0.7920 0.7920  6 Cr 2.62-2.66

* raw formation energy: -400 meV per atom
* uncorrected energy: -68.112 eV per cell